A geometry-optimized Th2Al4SiAu3 structure, computed with GGA-PBE.

a = 4.394 Å, b = 4.394 Å, c = 10.405 Å
α = 90.00°, β = 90.00°, γ = 90.00°
Element x y z (fractional)
Th 0.000 0.500 0.244
Th 0.500 0.000 0.756
Al 0.000 0.000 0.500
Al 0.000 0.500 0.871
Al 0.500 0.000 0.129
Al 0.500 0.500 0.500
Si 0.500 0.500 0.000
Au 0.000 0.000 0.000
Au 0.000 0.500 0.634
Au 0.500 0.000 0.366

- uncorrected formation energy (eV/atom) = -0.6312
- total energy (eV per atom) = -5.1377
- calculated density (g cm⁻³) = 9.8

---

A geometry-optimized VReTe2N structure, computed with GGA-PBE.

a = 5.427 Å, b = 5.427 Å, c = 3.717 Å
α = 90.00°, β = 90.00°, γ = 90.00°
Element x y z (fractional)
V 0.000 0.000 0.000
Re 0.500 0.500 0.500
Te 0.000 0.500 0.500
Te 0.500 0.000 0.500
N 0.500 0.500 0.000

- uncorrected formation energy (eV/atom) = 0.5416
- total energy (eV per atom) = -6.6934
- excess energy over the best structure of this formula in the dataset (meV per atom) = 0
- calculated density (g cm⁻³) = 7.7

---

A geometry-optimized RbCaPO2 structure, computed with GGA-PBE.

a = 4.684 Å, b = 4.684 Å, c = 5.735 Å
α = 90.00°, β = 90.00°, γ = 90.00°
Element x y z (fractional)
Rb 0.000 0.000 0.000
Ca 0.500 0.500 0.500
P 0.500 0.500 0.000
O 0.000 0.500 0.500
O 0.500 0.000 0.500

- uncorrected formation energy (eV/atom) = -0.4606
- total energy (eV per atom) = -4.1197
- excess energy over the best structure of this formula in the dataset (meV per atom) = 0
- calculated density (g cm⁻³) = 2.5

---

A geometry-optimized Zr2Si2Sb structure, computed with GGA-PBE.

a = 7.193 Å, b = 7.193 Å, c = 3.716 Å
α = 90.00°, β = 90.00°, γ = 90.00°
Element x y z (fractional)
Zr 0.182 0.318 0.000
Zr 0.318 0.818 0.000
Zr 0.682 0.182 0.000
Zr 0.818 0.682 0.000
Si 0.117 0.617 0.500
Si 0.383 0.117 0.500
Si 0.617 0.883 0.500
Si 0.883 0.383 0.500
Sb 0.000 0.000 0.500
Sb 0.500 0.500 0.500

- uncorrected formation energy (eV/atom) = -0.4602
- total energy (eV per atom) = -6.8731
- excess energy over the best structure of this formula in the dataset (meV per atom) = 154
- calculated density (g cm⁻³) = 6.2

---

A geometry-optimized CaTlTe2SeF structure, computed with GGA-PBE.

a = 7.249 Å, b = 7.249 Å, c = 7.029 Å
α = 110.63°, β = 110.63°, γ = 37.89°
Element x y z (fractional)
Ca 0.000 0.000 0.000
Tl 0.242 0.242 0.657
Te 0.467 0.467 0.307
Te 0.552 0.552 0.745
Se 0.636 0.636 0.220
F 0.838 0.838 0.825

- uncorrected formation energy (eV/atom) = -1.1594
- total energy (eV per atom) = -3.8272
- excess energy over the best structure of this formula in the dataset (meV per atom) = 119
- calculated density (g cm⁻³) = 4.7

---

A geometry-optimized Tm4Pb3Se structure, computed with GGA-PBE.

a = 7.475 Å, b = 7.475 Å, c = 7.475 Å
α = 131.67°, β = 131.67°, γ = 70.74°
Element x y z (fractional)
Tm 0.000 0.500 0.500
Tm 0.237 0.237 0.000
Tm 0.500 0.000 0.500
Tm 0.763 0.763 0.000
Pb 0.250 0.750 0.500
Pb 0.500 0.500 0.000
Pb 0.750 0.250 0.500
Se 0.000 0.000 0.000

- uncorrected formation energy (eV/atom) = -0.6594
- total energy (eV per atom) = -4.7214
- calculated density (g cm⁻³) = 10.0

---

Which of these has the highest total energy? CaTlTe2SeF

---

Which formula does entry 4 have? Zr2Si2Sb